{"formula": "Tl6Au7", "functional": "PBE", "state": "optimized geometry", "lattice": [[2.817, 1.626, 11.311], [-2.817, 1.626, 11.311], [0.000, -3.252, 11.311]], "species": ["Tl", "Tl", "Tl", "Tl", "Tl", "Tl", "Au", "Au", "Au", "Au", "Au", "Au", "Au"], "frac_coords": [[0.051, 0.051, 0.051], [0.156, 0.156, 0.156], [0.325, 0.325, 0.325], [0.675, 0.675, 0.675], [0.844, 0.844, 0.844], [0.949, 0.949, 0.949], [0.093, 0.593, 0.593], [0.407, 0.407, 0.907], [0.407, 0.907, 0.407], [0.500, 0.500, 0.500], [0.593, 0.093, 0.593], [0.593, 0.593, 0.093], [0.907, 0.407, 0.407]], "sg": "R-3m, No. 166", "energy_ry_per_atom": -0.211}

=====

{"formula": "Tl2Au3", "functional": "PBE", "state": "optimized geometry", "lattice": [[3.565, 2.058, 5.872], [-3.565, 2.058, 5.872], [0.000, -4.116, 5.872]], "species": ["Tl", "Tl", "Tl", "Tl", "Au", "Au", "Au", "Au", "Au", "Au"], "frac_coords": [[0.097, 0.097, 0.097], [0.403, 0.403, 0.403], [0.597, 0.597, 0.597], [0.903, 0.903, 0.903], [0.022, 0.250, 0.478], [0.250, 0.478, 0.022], [0.478, 0.022, 0.250], [0.522, 0.978, 0.750], [0.750, 0.522, 0.978], [0.978, 0.750, 0.522]], "sg": "R-3c, No. 167", "energy_ry_per_atom": -0.207}

=====

{"formula": "Tl3Au", "functional": "PBE", "state": "optimized geometry", "lattice": [[9.423, 0.000, 0.000], [0.000, 12.257, 0.000], [0.000, 0.000, 4.026]], "species": ["Tl", "Tl", "Tl", "Tl", "Tl", "Tl", "Tl", "Tl", "Tl", "Tl", "Tl", "Tl", "Au", "Au", "Au", "Au"], "frac_coords": [[0.000, 0.110, 0.250], [0.000, 0.890, 0.750], [0.203, 0.382, 0.250], [0.203, 0.618, 0.750], [0.297, 0.118, 0.750], [0.297, 0.882, 0.250], [0.500, 0.390, 0.750], [0.500, 0.610, 0.250], [0.703, 0.118, 0.750], [0.703, 0.882, 0.250], [0.797, 0.382, 0.250], [0.797, 0.618, 0.750], [0.000, 0.291, 0.750], [0.000, 0.709, 0.250], [0.500, 0.209, 0.250], [0.500, 0.791, 0.750]], "sg": "Cmcm, No. 63", "polymorph_energy_mev_per_atom": 22, "energy_ry_per_atom": -0.191}

=====

{"formula": "Tl2Au", "functional": "PBE", "state": "optimized geometry", "lattice": [[10.960, 0.000, 0.000], [0.000, 3.601, 0.000], [-1.626, 0.000, 8.253]], "species": ["Tl", "Tl", "Tl", "Tl", "Tl", "Tl", "Tl", "Tl", "Au", "Au", "Au", "Au"], "frac_coords": [[0.000, 0.000, 0.000], [0.045, 0.000, 0.444], [0.253, 0.500, 0.247], [0.338, 0.000, 0.633], [0.500, 0.500, 0.000], [0.545, 0.500, 0.444], [0.753, 0.000, 0.247], [0.838, 0.500, 0.633], [0.117, 0.500, 0.740], [0.272, 0.000, 0.963], [0.617, 0.000, 0.740], [0.772, 0.500, 0.963]], "sg": "Cm, No. 8", "energy_ry_per_atom": -0.196}

=====

{"formula": "Tl2Au", "functional": "PBE", "state": "optimized geometry", "lattice": [[3.559, 0.000, 0.000], [0.000, 3.559, 0.000], [0.000, 0.000, 12.728]], "species": ["Tl", "Tl", "Tl", "Tl", "Au", "Au"], "frac_coords": [[0.000, 0.000, 0.145], [0.000, 0.000, 0.855], [0.500, 0.500, 0.355], [0.500, 0.500, 0.645], [0.000, 0.000, 0.500], [0.500, 0.500, 0.000]], "sg": "I4/mmm, No. 139", "energy_ry_per_atom": -0.198}

=====

{"formula": "Tl2Au", "functional": "PBE", "state": "optimized geometry", "lattice": [[7.341, 0.000, 0.000], [0.000, 4.769, 0.000], [0.000, 0.000, 9.224]], "species": ["Tl", "Tl", "Tl", "Tl", "Tl", "Tl", "Tl", "Tl", "Au", "Au", "Au", "Au"], "frac_coords": [[0.027, 0.250, 0.184], [0.148, 0.250, 0.570], [0.352, 0.750, 0.070], [0.473, 0.750, 0.684], [0.527, 0.250, 0.316], [0.648, 0.250, 0.930], [0.852, 0.750, 0.430], [0.973, 0.750, 0.816], [0.227, 0.250, 0.892], [0.273, 0.750, 0.392], [0.727, 0.250, 0.608], [0.773, 0.750, 0.108]], "sg": "Pnma, No. 62", "energy_ry_per_atom": -0.198}

=====

{"formula": "Tl15Au", "functional": "PBE", "state": "optimized geometry", "lattice": [[7.033, 0.000, 0.000], [-3.516, 6.091, 0.000], [0.000, 0.000, 11.239]], "species": ["Tl", "Tl", "Tl", "Tl", "Tl", "Tl", "Tl", "Tl", "Tl", "Tl", "Tl", "Tl", "Tl", "Tl", "Tl", "Au"], "frac_coords": [[0.000, 0.000, 0.000], [0.009, 0.505, 0.500], [0.326, 0.163, 0.264], [0.326, 0.163, 0.736], [0.333, 0.667, 0.245], [0.333, 0.667, 0.755], [0.495, 0.505, 0.500], [0.495, 0.991, 0.500], [0.503, 0.005, 0.000], [0.503, 0.497, 0.000], [0.837, 0.163, 0.264], [0.837, 0.163, 0.736], [0.837, 0.674, 0.264], [0.837, 0.674, 0.736], [0.995, 0.497, 0.000], [0.000, 0.000, 0.500]], "sg": "P-6m2, No. 187", "energy_ry_per_atom": -0.177}

=====

{"formula": "Tl5Au", "functional": "PBE", "state": "optimized geometry", "lattice": [[6.134, 0.000, 0.000], [-3.067, 5.312, 0.000], [0.000, 0.000, 6.065]], "species": ["Tl", "Tl", "Tl", "Tl", "Tl", "Au"], "frac_coords": [[0.000, 0.500, 0.000], [0.333, 0.667, 0.500], [0.500, 0.000, 0.000], [0.500, 0.500, 0.000], [0.667, 0.333, 0.500], [0.000, 0.000, 0.500]], "sg": "P6/mmm, No. 191", "polymorph_energy_mev_per_atom": 261, "energy_ry_per_atom": -0.165}

=====

ΔH_f (0 K) for the records above, in order: -0.02; 0.10; -0.01; 0.00; -0.02; -0.03; 0.02; 0.27 eV/atom